The following is a GGA-PBE calculation of a relaxed PrAlHg crystal, from Alexandria.

Summary:
As for the space group: No. 12. The calculation puts the final energy at -20.424 eV per cell. The formation energy comes out at -45 kJ/mol of atoms.

a b c (Å): 6.0192 6.0192 7.6569
angles (deg): 128.10 128.10 46.19
Closest atoms and distances in Å follow each position.
Fractional positions:
1 Pr 0.0379 0.0379 0.2938  6 Hg 3.25-3.51, 6 Al 3.30-3.46
2 Pr 0.9621 0.9621 0.7062  6 Hg 3.25-3.51, 6 Al 3.30-3.46
3 Al 0.3445 0.3445 0.8890  1 Al 2.63, 2 Hg 2.74
4 Al 0.6555 0.6555 0.1110  1 Al 2.63, 2 Hg 2.74
5 Hg 0.3248 0.3248 0.2680  3 Al 2.74-3.05, 1 Hg 3.03
6 Hg 0.6752 0.6752 0.7320  3 Al 2.74-3.05, 1 Hg 3.03